Entry from Alexandria via LeMat-Bulk: crystalline Ac2LaTbY5 at its relaxed geometry (GGA-PBE).

Cell lengths 5.8268, 20.2134, 10.9919 Å; angles 90.00, 90.00, 90.00 degrees
Last column: nearest neighbours and their distance in Å.
Space group Cmc2_1 (No. 36)
Inequivalent atoms, fractional coordinates:
Ac: 0.0000 0.1134 0.0000 [4 per cell]  7 Y 3.48-3.77, 1 Tb 3.60
Ac: 0.0000 0.1152 0.5878 [4 per cell]  9 Y 3.41-3.77
La: 0.0000 0.4178 0.7310 [4 per cell]  5 Y 3.17-3.31
Tb: 0.0000 0.2049 0.2811 [4 per cell]  2 Ac 3.60-3.83, 8 Y 3.63-3.82, 2 La 3.87
Y: 0.0000 0.0182 0.2952 [4 per cell]  2 La 3.27, 2 Ac 3.48-3.53
Y: 0.0000 0.2838 0.5811 [4 per cell]  1 La 3.17, 1 Ac 3.41, 2 Y 3.53
Y: 0.0000 0.2969 0.9776 [4 per cell]  4 Y 3.53-3.90, 3 Ac 3.62-3.72, 3 Tb 3.63-3.82, 1 La 3.65
Y: 0.0000 0.3878 0.2901 [4 per cell]  6 Y 3.55-3.93, 4 Ac 3.67-3.72, 1 Tb 3.70
Y: 0.0000 0.4824 0.0074 [4 per cell]  2 La 3.18-3.31, 1 Y 3.55

## Properties
total energy = -5.408 eV per atom
calculated formation energy = 0.16 eV/atom
total magnetization = 0.00 μB/cell